Entry 1:
# PmTlSb2 | the Alexandria database | PBE | optimized geometry
data_PmTlSb2
_chemical_formula_sum 'Pm4 Tl4 Sb8'
_cell_length_a 7.7937
_cell_length_b 7.7937
_cell_length_c 7.7937
_cell_angle_alpha 90.00
_cell_angle_beta 90.00
_cell_angle_gamma 90.00
_symmetry_space_group_name_H-M 'F m -3 m'
_symmetry_Int_Tables_number 225
_symmetry_space_group_name_Hall '-F 4 2 3'
loop_
_atom_site_label
_atom_site_type_symbol
_atom_site_fract_x
_atom_site_fract_y
_atom_site_fract_z
Pm1 Pm 0.0000 0.0000 0.0000
Tl1 Tl 0.0000 0.0000 0.5000
Sb1 Sb 0.2500 0.2500 0.2500
# Raw formation energy in meV per atom: -337
# ΔE to the lowest computed polymorph in eV/f.u.: 0.77



Entry 2:
# LiPm2TeO6 | the Alexandria database | PBE | optimized geometry
data_LiPm2TeO6
_chemical_formula_sum 'Li3 Pm6 Te3 O18'
_cell_length_a 5.7676
_cell_length_b 5.7676
_cell_length_c 14.3375
_cell_angle_alpha 90.00
_cell_angle_beta 90.00
_cell_angle_gamma 120.00
_symmetry_space_group_name_H-M 'R 3'
_symmetry_Int_Tables_number 146
_symmetry_space_group_name_Hall 'R 3'
loop_
_atom_site_label
_atom_site_type_symbol
_atom_site_fract_x
_atom_site_fract_y
_atom_site_fract_z
Li1 Li 0.0000 0.0000 0.0000
Pm1 Pm 0.0000 0.0000 0.2672
Pm2 Pm 0.0000 0.0000 0.7713
Te1 Te 0.0000 0.0000 0.4909
O1 O 0.0652 0.3454 0.5611
O2 O 0.0785 0.7066 0.0663
# Raw formation energy in meV per atom: -2319



Entry 3:
# CsTaSb2Te | the Alexandria database | PBE | optimized geometry
data_CsTaSb2Te
_chemical_formula_sum 'Cs1 Ta1 Sb2 Te1'
_cell_length_a 5.5016
_cell_length_b 5.5016
_cell_length_c 5.5896
_cell_angle_alpha 90.00
_cell_angle_beta 90.00
_cell_angle_gamma 90.00
_symmetry_space_group_name_H-M 'P 4/m m m'
_symmetry_Int_Tables_number 123
_symmetry_space_group_name_Hall '-P 4 2'
loop_
_atom_site_label
_atom_site_type_symbol
_atom_site_fract_x
_atom_site_fract_y
_atom_site_fract_z
Cs1 Cs 0.0000 0.0000 0.0000
Ta1 Ta 0.5000 0.5000 0.5000
Sb1 Sb 0.0000 0.5000 0.5000
Te1 Te 0.5000 0.5000 0.0000
# Raw formation energy in meV per atom: -76
# ΔE to the lowest computed polymorph in eV/f.u.: 0.00



Entry 4:
# TcNiIr2Au | the Alexandria database | PBE | optimized geometry
data_TcNiIr2Au
_chemical_formula_sum 'Tc1 Ni1 Ir2 Au1'
_cell_length_a 4.8337
_cell_length_b 4.8337
_cell_length_c 4.5036
_cell_angle_alpha 90.00
_cell_angle_beta 90.00
_cell_angle_gamma 90.00
_symmetry_space_group_name_H-M 'P 4/m m m'
_symmetry_Int_Tables_number 123
_symmetry_space_group_name_Hall '-P 4 2'
loop_
_atom_site_label
_atom_site_type_symbol
_atom_site_fract_x
_atom_site_fract_y
_atom_site_fract_z
Tc1 Tc 0.0000 0.0000 0.0000
Ni1 Ni 0.5000 0.5000 0.0000
Ir1 Ir 0.0000 0.5000 0.5000
Au1 Au 0.5000 0.5000 0.5000
# Energy relative to the elements in eV per atom: 2.27



Entry 5:
# CsMnPbI6 | the Alexandria database | PBE | optimized geometry
data_CsMnPbI6
_chemical_formula_sum 'Cs2 Mn2 Pb2 I12'
_cell_length_a 7.9814
_cell_length_b 13.8438
_cell_length_c 8.3462
_cell_angle_alpha 90.00
_cell_angle_beta 90.08
_cell_angle_gamma 90.00
_symmetry_space_group_name_H-M 'C 1 2 1'
_symmetry_Int_Tables_number 5
_symmetry_space_group_name_Hall 'C 2y'
loop_
_atom_site_label
_atom_site_type_symbol
_atom_site_fract_x
_atom_site_fract_y
_atom_site_fract_z
Cs1 Cs 0.0000 0.0000 0.0000
Mn1 Mn 0.0000 0.6668 0.5000
Pb1 Pb 0.0000 0.3337 0.5000
I1 I 0.1266 0.5207 0.2999
I2 I 0.1556 0.8029 0.2997
I3 I 0.2180 0.1763 0.3004
# Raw formation energy in meV per atom: -671



Entry 6:
# BaTa3Mn | the Alexandria database | PBE | optimized geometry
data_BaTa3Mn
_chemical_formula_sum 'Ba1 Ta3 Mn1'
_cell_length_a 5.0575
_cell_length_b 5.0575
_cell_length_c 5.0575
_cell_angle_alpha 90.00
_cell_angle_beta 90.00
_cell_angle_gamma 90.00
_symmetry_space_group_name_H-M 'P m -3 m'
_symmetry_Int_Tables_number 221
_symmetry_space_group_name_Hall '-P 4 2 3'
loop_
_atom_site_label
_atom_site_type_symbol
_atom_site_fract_x
_atom_site_fract_y
_atom_site_fract_z
Ba1 Ba 0.0000 0.0000 0.0000
Ta1 Ta 0.0000 0.0000 0.5000
Mn1 Mn 0.5000 0.5000 0.5000
# ΔE to the lowest computed polymorph in eV/f.u.: 10.40
# Energy relative to the elements in eV per atom: 3.05



Entry 7:
# Zr9C4O2 | the Alexandria database | PBE | optimized geometry
data_Zr9C4O2
_chemical_formula_sum 'Zr18 C8 O4'
_cell_length_a 5.7449
_cell_length_b 5.7449
_cell_length_c 16.0247
_cell_angle_alpha 90.00
_cell_angle_beta 90.00
_cell_angle_gamma 120.00
_symmetry_space_group_name_H-M 'P -3 c 1'
_symmetry_Int_Tables_number 165
_symmetry_space_group_name_Hall '-P 3 2"c'
loop_
_atom_site_label
_atom_site_type_symbol
_atom_site_fract_x
_atom_site_fract_y
_atom_site_fract_z
Zr1 Zr 0.0000 0.3286 0.2500
Zr2 Zr 0.0086 0.3423 0.9177
C1 C 0.3333 0.6667 0.0051
C2 C 0.3333 0.6667 0.3266
O1 O 0.0000 0.0000 0.1642
# Raw formation energy in meV per atom: -1130



Entry 8:
# Ru2PbSe | the Alexandria database | PBE | optimized geometry
data_Ru2PbSe
_chemical_formula_sum 'Ru2 Pb1 Se1'
_cell_length_a 4.4659
_cell_length_b 3.1583
_cell_length_c 5.4063
_cell_angle_alpha 90.00
_cell_angle_beta 112.56
_cell_angle_gamma 90.00
_symmetry_space_group_name_H-M 'P 1 2/m 1'
_symmetry_Int_Tables_number 10
_symmetry_space_group_name_Hall '-P 2y'
loop_
_atom_site_label
_atom_site_type_symbol
_atom_site_fract_x
_atom_site_fract_y
_atom_site_fract_z
Ru1 Ru 0.0000 0.0000 0.0000
Ru2 Ru 0.0000 0.5000 0.5000
Pb1 Pb 0.5000 0.0000 0.5000
Se1 Se 0.5000 0.5000 0.0000
# Raw formation energy in meV per atom: 476
# ΔE to the lowest computed polymorph in eV/f.u.: 0.98



Entry 9:
# Tl6HgAu2 | the Alexandria database | PBE | optimized geometry
data_Tl6HgAu2
_chemical_formula_sum 'Tl24 Hg4 Au8'
_cell_length_a 9.0569
_cell_length_b 9.6926
_cell_length_c 11.5772
_cell_angle_alpha 90.00
_cell_angle_beta 90.00
_cell_angle_gamma 90.00
_symmetry_space_group_name_H-M 'I m m m'
_symmetry_Int_Tables_number 71
_symmetry_space_group_name_Hall '-I 2 2'
loop_
_atom_site_label
_atom_site_type_symbol
_atom_site_fract_x
_atom_site_fract_y
_atom_site_fract_z
Tl1 Tl 0.0000 0.2059 0.1761
Tl2 Tl 0.1975 0.5000 0.2519
Tl3 Tl 0.1986 0.2102 0.5000
Hg1 Hg 0.0000 0.5000 0.0000
Hg2 Hg 0.0000 0.5000 0.5000
Au1 Au 0.0000 0.0000 0.3713
Au2 Au 0.1592 0.0000 0.0000
# ΔE to the lowest computed polymorph in eV/f.u.: 0.00
# Energy relative to the elements in eV per atom: -0.01



Entry 10:
# ZnTcBr | the Alexandria database | PBE | optimized geometry
data_ZnTcBr
_chemical_formula_sum 'Zn1 Tc1 Br1'
_cell_length_a 4.4941
_cell_length_b 4.4941
_cell_length_c 2.9313
_cell_angle_alpha 90.00
_cell_angle_beta 90.00
_cell_angle_gamma 120.00
_symmetry_space_group_name_H-M 'P -6 m 2'
_symmetry_Int_Tables_number 187
_symmetry_space_group_name_Hall 'P -6 2'
loop_
_atom_site_label
_atom_site_type_symbol
_atom_site_fract_x
_atom_site_fract_y
_atom_site_fract_z
Zn1 Zn 0.0000 0.0000 0.0000
Tc1 Tc 0.3333 0.6667 0.5000
Br1 Br 0.6667 0.3333 0.5000
# Raw formation energy in meV per atom: 747
# ΔE to the lowest computed polymorph in eV/f.u.: 1.03



Entry 11:
# Ag12GeAu7 | the Alexandria database | PBE | optimized geometry
data_Ag12GeAu7
_chemical_formula_sum 'Ag36 Ge3 Au21'
_cell_length_a 12.2294
_cell_length_b 12.2294
_cell_length_c 8.6764
_cell_angle_alpha 90.00
_cell_angle_beta 90.00
_cell_angle_gamma 120.00
_symmetry_space_group_name_H-M 'R -3'
_symmetry_Int_Tables_number 148
_symmetry_space_group_name_Hall '-R 3'
loop_
_atom_site_label
_atom_site_type_symbol
_atom_site_fract_x
_atom_site_fract_y
_atom_site_fract_z
Ag1 Ag 0.0546 0.2437 0.0806
Ag2 Ag 0.0563 0.2225 0.7562
Ge1 Ge 0.0000 0.0000 0.5000
Au1 Au 0.0000 0.0000 0.0000
Au2 Au 0.0631 0.2359 0.4155
# Energy relative to the elements in eV per atom: 0.04



Entry 12:
# BaCdNi2H8 | the Alexandria database | PBE | optimized geometry
data_BaCdNi2H8
_chemical_formula_sum 'Ba1 Cd1 Ni2 H8'
_cell_length_a 4.6766
_cell_length_b 4.6766
_cell_length_c 6.8245
_cell_angle_alpha 90.00
_cell_angle_beta 90.00
_cell_angle_gamma 120.00
_symmetry_space_group_name_H-M 'P -3'
_symmetry_Int_Tables_number 147
_symmetry_space_group_name_Hall '-P 3'
loop_
_atom_site_label
_atom_site_type_symbol
_atom_site_fract_x
_atom_site_fract_y
_atom_site_fract_z
Ba1 Ba 0.0000 0.0000 0.0000
Cd1 Cd 0.0000 0.0000 0.5000
Ni1 Ni 0.3333 0.6667 0.6467
H1 H 0.0156 0.6516 0.3310
H2 H 0.3333 0.6667 0.8709
# Calculated total energy in eV/cell: -40.57